The following is a GGA-PBEsol calculation of an optimized crystal structure of CsMnCr2Pd, from the Alexandria database.

Geometry as POSCAR:
```
CsMnCr2Pd
1.0
5.111 0.000 0.000
0.000 5.111 0.000
0.000 0.000 4.945
Cs Cr Mn Pd
1 2 1 1
direct
0.500 0.500 0.500
0.500 0.000 0.000
0.000 0.500 0.000
0.000 0.000 0.500
0.000 0.000 0.000
```

Values from the calculation:
Its energy of formation is 1.276 eV/atom. The volume comes out at 129.2 Å³/f.u. As for the crystal system: tetragonal. The calculation puts the final energy at -0.22612 Ha/atom. For the total magnetization, the calculation gives 13.5 μB/f.u.

***

The following is a GGA-PBEsol calculation of an optimized crystal structure of CsCrN2, from the Alexandria database.

Geometry as POSCAR:
```
CsCrN2
1.0
-2.175 1.091 -5.198
0.952 -3.642 -4.331
-4.294 -3.211 -2.046
Cs Cr N
2 2 4
direct
0.750 0.750 0.750
0.500 0.500 0.500
0.250 0.250 0.250
0.000 0.000 0.000
0.125 0.125 0.625
0.125 0.125 0.125
0.625 0.125 0.125
0.125 0.625 0.125
```

Values from the calculation:
The volume comes out at 66.8 Å³/f.u. As for the crystal system: cubic. The calculation puts the final energy at -0.28180 Ha/atom. For the total magnetization, the calculation gives 0.0 μB/f.u.

***

The following is a GGA-PBEsol calculation of an optimized crystal structure of CsCrN2O, from the Alexandria database.

Geometry as POSCAR:
```
CsCrN2O
1.0
-3.366 -2.252 -1.178
2.217 -3.709 0.755
-1.439 -0.017 4.144
Cs Cr O N
1 1 1 2
direct
0.000 0.000 0.000
0.500 0.500 0.500
0.500 0.000 0.000
0.000 0.000 0.500
0.000 0.500 0.000
```

Values from the calculation:
The volume comes out at 81.2 Å³/f.u. As for the crystal system: tetragonal. The calculation puts the final energy at -0.16103 Ha/atom. For the total magnetization, the calculation gives 3.3 μB/f.u.

***

The following is a GGA-PBEsol calculation of an optimized crystal structure of CsCrSe2N, from the Alexandria database.

Geometry as POSCAR:
```
CsCrSe2N
1.0
4.432 0.000 0.000
0.000 5.662 0.000
0.000 0.000 5.662
Cs Cr Se N
1 1 2 1
direct
0.000 0.000 0.000
0.500 0.500 0.500
0.000 0.000 0.500
0.000 0.500 0.000
0.500 0.000 0.000
```

Values from the calculation:
The volume comes out at 142.0 Å³/f.u. As for the crystal system: tetragonal. The calculation puts the final energy at -0.12908 Ha/atom. For the total magnetization, the calculation gives 5.6 μB/f.u.

***

The following is a GGA-PBEsol calculation of an optimized crystal structure of CsCrTe2N, from the Alexandria database.

Geometry as POSCAR:
```
CsCrTe2N
1.0
-2.598 -1.564 -1.830
1.929 -5.353 1.837
-3.577 0.351 4.778
Cs Cr Te N
1 1 2 1
direct
0.500 0.500 0.500
0.000 0.000 0.000
0.000 0.000 0.500
0.000 0.500 0.000
0.500 0.000 0.000
```

Values from the calculation:
The volume comes out at 126.6 Å³/f.u. As for the crystal system: tetragonal. The calculation puts the final energy at -0.19782 Ha/atom. For the total magnetization, the calculation gives 1.6 μB/f.u.

***

The following is a GGA-PBEsol calculation of an optimized crystal structure of CsNb3Cr, from the Alexandria database.

Geometry as POSCAR:
```
CsNb3Cr
1.0
-2.647 -1.558 3.675
-1.910 -3.378 -2.808
3.505 -3.017 1.245
Cs Cr Nb
1 1 3
direct
0.500 0.500 0.500
0.000 0.000 0.000
0.000 0.500 0.000
0.000 0.000 0.500
0.500 0.000 0.000
```

Values from the calculation:
Its energy of formation is 1.489 eV/atom. The volume comes out at 109.9 Å³/f.u. As for the crystal system: cubic. The calculation puts the final energy at -0.26608 Ha/atom. For the total magnetization, the calculation gives 0.0 μB/f.u.

***

The following is a GGA-PBEsol calculation of an optimized crystal structure of CsCrP2O7, from the Alexandria database.

Geometry as POSCAR:
```
CsCrP2O7
1.0
-0.727 -1.036 7.546
-2.031 -7.312 -3.412
9.425 -2.859 0.516
Cs Cr P O
4 4 8 28
direct
0.194 0.043 0.799
0.806 0.957 0.201
0.194 0.543 0.701
0.806 0.457 0.299
0.760 0.740 0.601
0.240 0.760 0.101
0.240 0.260 0.399
0.760 0.240 0.899
0.130 0.834 0.405
0.130 0.334 0.095
0.575 0.817 0.872
0.870 0.166 0.595
0.575 0.317 0.628
0.425 0.183 0.128
0.425 0.683 0.372
0.870 0.666 0.905
0.616 0.231 0.069
0.682 0.702 0.955
0.435 0.238 0.277
0.616 0.731 0.431
0.683 0.995 0.898
0.154 0.019 0.415
0.317 0.005 0.102
0.317 0.505 0.398
0.018 0.769 0.998
0.435 0.738 0.223
0.093 0.764 0.261
0.846 0.481 0.915
0.907 0.236 0.739
0.384 0.769 0.931
0.683 0.495 0.602
0.318 0.298 0.045
0.682 0.202 0.545
0.982 0.231 0.002
0.982 0.731 0.498
0.565 0.262 0.777
0.318 0.798 0.455
0.384 0.269 0.569
0.907 0.736 0.761
0.018 0.269 0.502
0.846 0.981 0.585
0.154 0.519 0.085
0.093 0.264 0.239
0.565 0.762 0.723
```

Values from the calculation:
The volume comes out at 151.5 Å³/f.u. As for the crystal system: monoclinic. The calculation puts the final energy at -0.28046 Ha/atom. For the total magnetization, the calculation gives 3.0 μB/f.u.

***

The following is a GGA-PBEsol calculation of an optimized crystal structure of CsCrS2O8, from the Alexandria database.

Geometry as POSCAR:
```
CsCrS2O8
1.0
-2.078 -1.053 -4.528
4.920 -1.009 0.840
-2.046 -7.702 2.730
Cs Cr S O
1 1 2 8
direct
0.000 0.000 0.000
0.000 0.000 0.500
0.333 0.667 0.302
0.667 0.333 0.698
0.333 0.667 0.129
0.667 0.333 0.871
0.188 0.349 0.358
0.161 0.812 0.358
0.812 0.161 0.642
0.651 0.839 0.358
0.839 0.651 0.642
0.349 0.188 0.642
```

Values from the calculation:
The volume comes out at 189.1 Å³/f.u. As for the crystal system: trigonal. The calculation puts the final energy at -0.25013 Ha/atom. For the total magnetization, the calculation gives 3.0 μB/f.u.

***

The following is a GGA-PBEsol calculation of an optimized crystal structure of Cs3CrOs, from the Alexandria database.

Geometry as POSCAR:
```
Cs3CrOs
1.0
-3.856 -0.839 -4.412
4.236 -2.609 -3.207
-1.490 -5.247 2.300
Cs Cr Os
3 1 1
direct
0.000 0.500 0.000
0.000 0.000 0.500
0.500 0.000 0.000
0.500 0.500 0.500
0.000 0.000 0.000
```

Values from the calculation:
Its energy of formation is 1.679 eV/atom. The volume comes out at 207.4 Å³/f.u. As for the crystal system: cubic. The calculation puts the final energy at -0.12413 Ha/atom. For the total magnetization, the calculation gives 5.2 μB/f.u.

***

The following is a GGA-PBEsol calculation of an optimized crystal structure of CsCrOs3, from the Alexandria database.

Geometry as POSCAR:
```
CsCrOs3
1.0
4.854 0.000 0.000
0.000 4.854 0.000
0.000 0.000 4.854
Cs Cr Os
1 1 3
direct
0.000 0.000 0.000
0.500 0.500 0.500
0.000 0.500 0.000
0.000 0.000 0.500
0.500 0.000 0.000
```

Values from the calculation:
Its energy of formation is 4.112 eV/atom. The volume comes out at 114.3 Å³/f.u. As for the crystal system: cubic. The calculation puts the final energy at -0.20046 Ha/atom. For the total magnetization, the calculation gives 0.5 μB/f.u.

***

The following is a GGA-PBEsol calculation of an optimized crystal structure of CsCrP2S7, from the Alexandria database.

Geometry as POSCAR:
```
CsCrP2S7
1.0
6.382 0.044 0.012
-0.706 6.343 0.012
-0.566 -0.637 6.749
Cs Cr P S
1 1 2 7
direct
0.899 0.101 0.000
0.488 0.512 0.500
0.939 0.660 0.428
0.340 0.061 0.572
0.673 0.645 0.239
0.355 0.327 0.761
0.836 0.519 0.664
0.481 0.164 0.336
0.176 0.543 0.291
0.457 0.824 0.709
0.005 0.995 0.500
```

Values from the calculation:
The volume comes out at 273.5 Å³/f.u. As for the crystal system: monoclinic. The calculation puts the final energy at -0.19984 Ha/atom. For the total magnetization, the calculation gives 3.0 μB/f.u.

***

The following is a GGA-PBEsol calculation of an optimized crystal structure of CsCrPb3, from the Alexandria database.

Geometry as POSCAR:
```
CsCrPb3
1.0
-2.051 4.210 3.854
-4.646 -3.611 1.472
3.316 -2.454 4.446
Pb Cs Cr
3 1 1
direct
0.000 0.500 0.000
0.000 0.000 0.500
0.500 0.000 0.000
0.000 0.000 0.000
0.500 0.500 0.500
```

Values from the calculation:
Its energy of formation is 1.818 eV/atom. The volume comes out at 223.1 Å³/f.u. As for the crystal system: cubic. The calculation puts the final energy at -0.10357 Ha/atom. For the total magnetization, the calculation gives 4.8 μB/f.u.

***

The following is a GGA-PBEsol calculation of an optimized crystal structure of CsCrRh3, from the Alexandria database.

Geometry as POSCAR:
```
CsCrRh3
1.0
-4.022 2.278 1.332
-2.592 -2.957 -2.771
-0.494 -3.035 3.700
Cs Cr Rh
1 1 3
direct
0.000 0.000 0.000
0.500 0.500 0.500
0.000 0.500 0.000
0.000 0.000 0.500
0.500 0.000 0.000
```

Values from the calculation:
Its energy of formation is 2.370 eV/atom. The volume comes out at 111.3 Å³/f.u. As for the crystal system: cubic. The calculation puts the final energy at -0.17456 Ha/atom. For the total magnetization, the calculation gives 4.4 μB/f.u.

***

The following is a GGA-PBEsol calculation of an optimized crystal structure of CsCr2S4, from the Alexandria database.

Geometry as POSCAR:
```
CsCr2S4
1.0
3.510 0.000 0.000
0.000 5.715 -0.001
-1.755 -1.858 8.040
Cs Cr S
1 2 4
direct
0.500 0.500 0.000
0.754 0.770 0.507
0.246 0.230 0.493
0.337 0.971 0.674
0.663 0.029 0.326
0.824 0.456 0.648
0.176 0.544 0.352
```

Values from the calculation:
The volume comes out at 161.3 Å³/f.u. As for the crystal system: monoclinic. The calculation puts the final energy at -0.23479 Ha/atom. For the total magnetization, the calculation gives 5.0 μB/f.u.

***

The following is a GGA-PBEsol calculation of an optimized crystal structure of CsCr2S, from the Alexandria database.

Geometry as POSCAR:
```
CsCr2S
1.0
-2.412 -4.092 -1.340
1.544 -2.612 -3.892
2.084 -4.424 0.667
Cs Cr S
1 2 1
direct
0.500 0.500 0.500
0.250 0.250 0.250
0.750 0.750 0.750
0.000 0.000 0.000
```

Values from the calculation:
The volume comes out at 85.0 Å³/f.u. As for the crystal system: cubic. The calculation puts the final energy at -0.19395 Ha/atom. For the total magnetization, the calculation gives 9.3 μB/f.u.

***

The following is a GGA-PBEsol calculation of an optimized crystal structure of CsCrSe2, from the Alexandria database.

Geometry as POSCAR:
```
CsCrSe2
1.0
6.859 0.060 0.094
-2.735 6.291 -0.094
-2.735 -2.739 5.664
Cs Cr Se
2 2 4
direct
0.000 0.000 0.000
0.500 0.750 0.250
0.000 0.500 0.500
0.500 0.250 0.750
0.873 0.498 0.125
0.127 0.252 0.625
0.627 0.375 0.502
0.373 0.875 0.748
```

Values from the calculation:
The volume comes out at 123.0 Å³/f.u. As for the crystal system: tetragonal. The calculation puts the final energy at -0.19760 Ha/atom. For the total magnetization, the calculation gives 3.0 μB/f.u.

***

The following is a GGA-PBEsol calculation of an optimized crystal structure of Cs3Cr20Se32, from the Alexandria database.

Geometry as POSCAR:
```
Cs3Cr20Se32
1.0
10.810 0.040 0.001
5.283 10.146 -0.019
1.719 3.794 10.742
Cs Cr Se
3 20 32
direct
0.272 0.228 0.772
0.000 0.500 0.500
0.728 0.772 0.228
0.458 0.362 0.122
0.209 0.608 0.873
0.957 0.859 0.622
0.707 0.111 0.371
0.293 0.889 0.629
0.043 0.141 0.378
0.791 0.392 0.127
0.542 0.638 0.878
0.838 0.070 0.764
0.588 0.320 0.515
0.336 0.571 0.265
0.086 0.821 0.015
0.914 0.179 0.985
0.664 0.429 0.735
0.412 0.680 0.485
0.162 0.930 0.236
0.875 0.625 0.875
0.625 0.875 0.625
0.375 0.125 0.375
0.125 0.375 0.125
0.656 0.366 0.975
0.405 0.615 0.725
0.155 0.867 0.475
0.905 0.118 0.225
0.095 0.882 0.775
0.845 0.133 0.525
0.595 0.385 0.275
0.344 0.634 0.025
0.985 0.366 0.978
0.736 0.616 0.727
0.485 0.866 0.478
0.235 0.116 0.228
0.765 0.884 0.772
0.515 0.134 0.522
0.264 0.384 0.273
0.015 0.634 0.022
0.909 0.249 0.757
0.657 0.501 0.506
0.405 0.750 0.257
0.158 0.998 0.008
0.842 0.002 0.992
0.595 0.250 0.743
0.343 0.499 0.494
0.091 0.751 0.243
0.181 0.142 0.527
0.928 0.395 0.275
0.677 0.644 0.023
0.432 0.889 0.777
0.568 0.111 0.223
0.323 0.356 0.977
0.072 0.605 0.725
0.819 0.858 0.473
```

Values from the calculation:
The volume comes out at 1176.7 Å³/f.u. As for the crystal system: triclinic. The calculation puts the final energy at -0.24211 Ha/atom. For the total magnetization, the calculation gives 59.0 μB/f.u.

***

The following is a GGA-PBEsol calculation of an optimized crystal structure of Cs2CrSn, from the Alexandria database.

Geometry as POSCAR:
```
Cs2CrSn
1.0
-1.742 -5.936 -0.424
3.821 -4.497 1.906
-1.317 -3.219 5.134
Cs Cr Sn
2 1 1
direct
0.250 0.250 0.250
0.750 0.750 0.750
0.000 0.000 0.000
0.500 0.500 0.500
```

Values from the calculation:
Its energy of formation is 0.867 eV/atom. The volume comes out at 168.6 Å³/f.u. As for the crystal system: cubic. The calculation puts the final energy at -0.11868 Ha/atom. For the total magnetization, the calculation gives 3.8 μB/f.u.

***

The following is a GGA-PBEsol calculation of an optimized crystal structure of CsCrTc3, from the Alexandria database.

Geometry as POSCAR:
```
CsCrTc3
1.0
4.605 0.000 0.000
0.000 4.605 0.000
0.000 0.000 4.605
Cs Cr Tc
1 1 3
direct
0.500 0.500 0.500
0.000 0.000 0.000
0.000 0.500 0.000
0.000 0.000 0.500
0.500 0.000 0.000
```

Values from the calculation:
Its energy of formation is 1.802 eV/atom. The volume comes out at 97.6 Å³/f.u. As for the crystal system: cubic. The calculation puts the final energy at -0.26439 Ha/atom. For the total magnetization, the calculation gives 3.2 μB/f.u.

***

The following is a GGA-PBEsol calculation of an optimized crystal structure of CsCr3Te, from the Alexandria database.

Geometry as POSCAR:
```
CsCr3Te
1.0
-2.249 0.039 4.735
-1.276 -5.053 -0.564
4.560 -1.395 2.177
Cs Cr Te
1 3 1
direct
0.000 0.000 0.000
0.000 0.500 0.000
0.000 0.000 0.500
0.500 0.000 0.000
0.500 0.500 0.500
```

Values from the calculation:
The volume comes out at 144.0 Å³/f.u. As for the crystal system: cubic. The calculation puts the final energy at -0.16765 Ha/atom. For the total magnetization, the calculation gives 13.9 μB/f.u.